(1)
Material: Cd2In8Ag
Method: DFT, PBE
State: optimized geometry

Lattice parameters (Å, degrees): 4.749 4.749 12.630 90.00 90.00 90.00
Positions (direct):
Cd1 0.000 0.000 0.324
Cd2 0.000 0.000 0.676
In1 0.000 0.500 0.500
In2 0.500 0.000 0.500
In3 0.500 0.500 0.314
In4 0.500 0.500 0.686
In5 0.000 0.500 0.136
In6 0.500 0.000 0.136
In7 0.000 0.500 0.864
In8 0.500 0.000 0.864
Ag1 0.000 0.000 0.000

Space-group type ... P4/mmm, No. 123
Total DFT energy (no corrections) ... -2.39 eV/atom
Energy of formation from the pure elements ... 0.028 eV per atom



(2)
Material: Cs4PbBr5
Method: DFT, PBE
State: optimized geometry

Lattice parameters (Å, degrees): 7.481 8.789 8.789 79.57 64.81 64.81
Site moments in Bohr magnetons follow the coordinates.
Positions (direct):
Cs1 0.408 0.387 0.799  0.00
Cs2 0.796 0.799 0.613  0.00
Cs3 0.207 0.201 0.387  0.00
Cs4 0.595 0.613 0.201  0.00
Pb1 0.001 0.000 0.000  0.06
Br1 0.912 0.362 0.816  0.00
Br2 0.274 0.816 0.638  0.00
Br3 0.728 0.184 0.362  0.00
Br4 0.090 0.638 0.184  0.00
Br5 0.499 0.000 0.000  0.02

Energy relative to the elements, uncorrected ... -1.43 eV per atom
Space-group type ... I4, No. 79
Total DFT energy (no corrections) ... -2.98 eV/atom



(3)
Material: LiTe2F
Method: DFT, PBE
State: optimized geometry

Lattice parameters (Å, degrees): 4.168 4.168 11.896 79.91 79.91 90.00
Positions (direct):
Te1 0.623 0.125 0.250
Te2 0.127 0.625 0.250
Te3 0.375 0.377 0.750
Te4 0.875 0.873 0.750
Li1 0.500 0.500 0.000
Li2 0.250 0.750 0.500
F1 0.000 0.000 0.000
F2 0.750 0.250 0.500

Energy relative to the elements, uncorrected ... -0.77 eV per atom
Space-group type ... I-42d, No. 122
Total DFT energy (no corrections) ... -3.29 eV/atom
Relative energy among the computed polymorphs ... 0 meV per atom



(4)
Material: TbInAu4
Method: DFT, PBE
State: optimized geometry

Lattice parameters (Å, degrees): 5.110 5.142 5.309 61.04 90.00 89.99
Positions (direct):
Tb1 0.501 0.002 0.495
In1 0.001 0.502 0.496
Au1 0.501 0.670 0.159
Au2 0.501 0.334 0.831
Au3 0.001 0.172 0.154
Au4 0.001 0.831 0.837

Space-group type ... Cmmm, No. 65
Total DFT energy (no corrections) ... -3.93 eV/atom
Energy of formation from the pure elements ... -0.517 eV per atom
Relative energy among the computed polymorphs ... 0 meV per atom



(5)
Material: Ti7GaAu2
Method: DFT, PBE
State: optimized geometry

Lattice parameters (Å, degrees): 6.552 6.552 6.552 60.00 60.00 60.00
Site moments in Bohr magnetons follow the coordinates.
Positions (direct):
Ti1 0.500 0.500 0.500  0.41
Ti2 0.254 0.746 0.746  0.27
Ti3 0.254 0.746 0.254  0.27
Ti4 0.746 0.254 0.746  0.27
Ti5 0.746 0.746 0.254  0.27
Ti6 0.254 0.254 0.746  0.27
Ti7 0.746 0.254 0.254  0.27
Ga1 0.000 0.000 0.000  0.00
Au1 0.250 0.250 0.250  0.02
Au2 0.750 0.750 0.750  0.02

Space-group type ... Fm-3m, No. 225
Total DFT energy (no corrections) ... -5.77 eV/atom
Energy of formation from the pure elements ... 0.711 eV per atom



(6)
Material: Ag2BrN
Method: DFT, PBE
State: optimized geometry

Lattice parameters (Å, degrees): 5.518 5.518 6.854 66.26 66.26 90.00
Positions (direct):
Br1 0.000 0.000 0.000
Br2 0.750 0.250 0.500
Ag1 0.496 0.125 0.250
Ag2 0.254 0.625 0.250
Ag3 0.375 0.504 0.750
Ag4 0.875 0.746 0.750
N1 0.500 0.500 0.000
N2 0.250 0.750 0.500

Energy relative to the elements, uncorrected ... 0.71 eV per atom
Space-group type ... I-42d, No. 122
Total DFT energy (no corrections) ... -3.22 eV/atom
Relative energy among the computed polymorphs ... 0 meV per atom



(7)
Material: Na3Nd2S4
Method: DFT, PBE
State: optimized geometry

Lattice parameters (Å, degrees): 4.107 4.107 16.733 90.03 89.97 120.00
Positions (direct):
Na1 0.666 0.334 0.397
Na2 0.000 0.000 0.000
Na3 0.334 0.666 0.603
Nd1 0.667 0.333 0.800
Nd2 0.333 0.667 0.200
S1 0.334 0.666 0.893
S2 0.000 0.000 0.297
S3 0.000 0.000 0.703
S4 0.666 0.334 0.107

Energy relative to the elements, uncorrected ... -1.57 eV per atom
Space-group type ... C2/m, No. 12
Total DFT energy (no corrections) ... -4.90 eV/atom



(8)
Material: Cs2GaPbSe4
Method: DFT, PBE
State: optimized geometry

Lattice parameters (Å, degrees): 6.716 8.239 13.084 84.00 75.13 65.95
Positions (direct):
Cs1 0.182 0.000 0.636
Cs2 0.818 0.000 0.364
Cs3 0.568 0.500 0.864
Cs4 0.932 0.500 0.136
Ga1 0.250 0.500 0.500
Ga2 0.500 0.000 0.000
Pb1 0.750 0.500 0.500
Pb2 0.000 0.000 0.000
Se1 0.326 0.809 0.113
Se2 0.248 0.191 0.887
Se3 0.865 0.809 0.887
Se4 0.561 0.191 0.113
Se5 0.424 0.691 0.387
Se6 0.502 0.309 0.613
Se7 0.885 0.691 0.613
Se8 0.189 0.309 0.387

Energy relative to the elements, uncorrected ... -0.77 eV per atom
Space-group type ... Fddd, No. 70
Total DFT energy (no corrections) ... -3.57 eV/atom



(9)
Material: DyLuCo2
Method: DFT, PBE
State: optimized geometry

Lattice parameters (Å, degrees): 3.308 4.658 4.658 90.00 90.00 90.00
Site moments in Bohr magnetons follow the coordinates.
Positions (direct):
Lu1 0.500 0.000 0.000  -0.18
Co1 0.000 0.000 0.500  0.59
Co2 0.000 0.500 0.000  0.59
Dy1 0.500 0.500 0.500  -0.21

Space-group type ... P4/mmm, No. 123
Total DFT energy (no corrections) ... -6.03 eV/atom
Energy of formation from the pure elements ... -0.199 eV per atom



(10)
Material: Li3Ho2Sn4
Method: DFT, PBE
State: optimized geometry

Lattice parameters (Å, degrees): 6.242 8.001 8.548 90.00 111.41 90.00
Positions (direct):
Li1 0.000 0.000 0.000
Li2 0.500 0.500 0.000
Li3 0.522 0.750 0.544
Li4 0.978 0.250 0.456
Li5 0.478 0.250 0.456
Li6 0.022 0.750 0.544
Ho1 0.107 0.598 0.214
Ho2 0.893 0.402 0.786
Ho3 0.393 0.098 0.786
Ho4 0.607 0.902 0.214
Sn1 0.695 0.750 0.891
Sn2 0.805 0.250 0.109
Sn3 0.305 0.250 0.109
Sn4 0.195 0.750 0.891
Sn5 0.178 0.975 0.356
Sn6 0.822 0.025 0.644
Sn7 0.322 0.475 0.644
Sn8 0.678 0.525 0.356

Space-group type ... Cmce, No. 64
Total DFT energy (no corrections) ... -3.92 eV/atom
Energy of formation from the pure elements ... -0.484 eV per atom



(11)
Material: KZr2SbO8
Method: DFT, PBE
State: optimized geometry

Lattice parameters (Å, degrees): 4.854 4.853 7.415 89.68 89.68 89.00
Positions (direct):
K1 0.000 0.000 0.500
Zr1 0.499 0.499 0.785
Zr2 0.501 0.501 0.215
Sb1 0.000 0.000 0.000
O1 0.197 0.797 0.195
O2 0.701 0.701 0.999
O3 0.797 0.197 0.195
O4 0.803 0.203 0.805
O5 0.299 0.299 0.001
O6 0.203 0.803 0.805
O7 0.610 0.610 0.499
O8 0.390 0.390 0.501

Energy relative to the elements, uncorrected ... -2.14 eV per atom
Space-group type ... C2/m, No. 12
Total DFT energy (no corrections) ... -7.30 eV/atom



(12)
Material: Zr2TiSe
Method: DFT, PBE
State: optimized geometry

Lattice parameters (Å, degrees): 3.367 3.367 8.728 78.88 78.88 60.00
Positions (direct):
Zr1 0.078 0.078 0.767
Zr2 0.256 0.256 0.233
Ti1 0.499 0.499 0.502
Se1 0.667 0.667 0.998

Energy relative to the elements, uncorrected ... -0.46 eV per atom
Space-group type ... R3m, No. 160
Total DFT energy (no corrections) ... -7.58 eV/atom